{
  "formula": "TlZn3Hg",
  "functional": "meta-GGA SCAN",
  "state": "single point on PBEsol structure",
  "dos_ef_per_ev_fu": 1.191,
  "delta_e_f_ev_per_atom": 0.329,
  "lattice": [[4.9455, 0.0000, 0.0000], [0.0000, 4.9455, 0.0000], [0.0000, 0.0000, 4.9455]],
  "species": ["Tl", "Zn", "Zn", "Zn", "Hg"],
  "fractional_positions": [[0.0000, 0.0000, 0.0000], [0.0000, 0.5000, 0.5000], [0.5000, 0.0000, 0.5000], [0.5000, 0.5000, 0.0000], [0.5000, 0.5000, 0.5000]]
}

=====

{
  "formula": "CdW3",
  "functional": "meta-GGA SCAN",
  "state": "single point on PBEsol structure",
  "dos_ef_per_ev_fu": 5.403,
  "delta_e_f_ev_per_atom": 0.742,
  "lattice": [[6.4009, 0.0000, 0.0000], [0.0000, 6.4009, 0.0000], [0.0000, 0.0000, 6.4009]],
  "species": ["Cd", "Cd", "Cd", "Cd", "W", "W", "W", "W", "W", "W", "W", "W", "W", "W", "W", "W"],
  "fractional_positions": [[0.0000, 0.0000, 0.0000], [0.0000, 0.5000, 0.5000], [0.5000, 0.0000, 0.5000], [0.5000, 0.5000, 0.0000], [0.0000, 0.0000, 0.5000], [0.0000, 0.5000, 0.0000], [0.2500, 0.2500, 0.2500], [0.2500, 0.2500, 0.7500], [0.2500, 0.7500, 0.2500], [0.2500, 0.7500, 0.7500], [0.5000, 0.0000, 0.0000], [0.5000, 0.5000, 0.5000], [0.7500, 0.2500, 0.2500], [0.7500, 0.2500, 0.7500], [0.7500, 0.7500, 0.2500], [0.7500, 0.7500, 0.7500]]
}